Entry 1:
This record from the Alexandria database describes a relaxed structure of TaRe. The functional is PBEsol.

Computed properties:
Energy: -12.905 eV/atom
Formation energy: 0.04 eV/atom

Cell: 3.7800 3.7800 9.1035 Å, 90.00 90.00 90.00°
Last column: nearest neighbours and their distance in Å.
Space group I4_1/amd (No. 141, origin choice 2)
One atom of each set of equivalent atoms:
Ta1 0.0000 0.2500 0.3750 [4 per cell]  8 Re 2.67-2.96, 4 Ta 2.96
Re1 0.0000 0.2500 0.8750 [4 per cell]  8 Ta 2.67-2.96, 4 Re 2.96

Entry 2:
This record from the Alexandria database describes a relaxed structure of AlFeW. The functional is PBEsol.

Computed properties:
Energy: -8.201 eV/atom
Formation energy: 0.75 eV/atom
Energy relative to the lowest polymorph listed for this composition: 917 meV/atom

Cell: 5.7587 5.7587 5.7587 Å, 90.00 90.00 90.00°
Last column: nearest neighbours and their distance in Å.
Space group F-43m (No. 216)
One atom of each set of equivalent atoms:
Al1 0.0000 0.0000 0.0000 [4 per cell]  4 W 2.49
Fe1 0.0000 0.0000 0.5000 [4 per cell]  4 W 2.49
W1 0.2500 0.2500 0.7500 [4 per cell]  4 Fe 2.49, 4 Al 2.49

Entry 3:
This record from the Alexandria database describes a relaxed structure of CdAg2Te. The functional is PBEsol.

Computed properties:
Energy: -2.709 eV/atom
Energy relative to the lowest polymorph listed for this composition: 119 meV/atom

Cell: 3.1913 3.1913 27.8295 Å, 90.00 90.00 120.00°
Last column: nearest neighbours and their distance in Å.
Space group R-3m (No. 166, hexagonal axes)
One atom of each set of equivalent atoms:
Cd1 0.0000 0.0000 0.0000 [3 per cell]  6 Ag 2.86, 6 Cd 3.19
Ag1 0.0000 0.0000 0.2545 [6 per cell]  3 Cd 2.86, 3 Te 3.06, 6 Ag 3.19
Te1 0.0000 0.0000 0.5000 [3 per cell]  6 Ag 3.06, 6 Te 3.19